(1)
Entry from Alexandria: CaMoOF2 after structural relaxation (PBE with a Hubbard U).

total moment	3.65	Bohr magnetons per cell
crystal system	tetragonal

Cell: 4.3883 4.3883 4.2403 Å, 90.00 90.00 90.00°
Last column: magnetic moment on the atom in μB.
Atoms (fractional coordinates):
Mo (0.0000, 0.0000, 0.0000)  3.17
Ca (0.5000, 0.5000, 0.5000)  0.04
O (0.0000, 0.0000, 0.5000)  0.07
F (0.0000, 0.5000, 0.0000)  0.03
F (0.5000, 0.0000, 0.0000)  0.03

---

(2)
Entry from Alexandria: CaMoOF2 after structural relaxation (PBE with a Hubbard U).

total moment	4.00	Bohr magnetons per cell
crystal system	tetragonal

Cell: 4.1805 4.1805 4.6873 Å, 90.00 90.00 90.00°
Last column: magnetic moment on the atom in μB.
Atoms (fractional coordinates):
Mo (0.5000, 0.5000, 0.5000)  3.71
Ca (0.0000, 0.0000, 0.0000)  0.00
F (0.0000, 0.5000, 0.0000)  0.02
F (0.5000, 0.0000, 0.0000)  0.02
O (0.0000, 0.0000, 0.5000)  -0.13

---

(3)
Entry from Alexandria: CaMo2OsF after structural relaxation (PBE with a Hubbard U).

total moment	6.53	Bohr magnetons per cell
crystal system	tetragonal

Cell: 5.1321 4.4488 5.1321 Å, 90.00 90.00 90.00°
Last column: magnetic moment on the atom in μB.
Atoms (fractional coordinates):
F (0.0000, 0.5000, 0.0000)  0.03
Ca (0.5000, 0.5000, 0.5000)  0.04
Os (0.0000, 0.0000, 0.0000)  -0.97
Mo (0.5000, 0.0000, 0.0000)  3.48
Mo (0.0000, 0.0000, 0.5000)  2.99

---

(4)
Entry from Alexandria: CaMoP2F after structural relaxation (PBE with a Hubbard U).

total moment	3.76	Bohr magnetons per cell
crystal system	tetragonal

Cell: 4.8665 4.1474 4.8665 Å, 90.00 90.00 90.00°
Last column: magnetic moment on the atom in μB.
Atoms (fractional coordinates):
F (0.0000, 0.0000, 0.0000)  -0.02
P (0.5000, 0.0000, 0.0000)  -0.14
P (0.0000, 0.0000, 0.5000)  -0.16
Ca (0.0000, 0.5000, 0.0000)  0.02
Mo (0.5000, 0.5000, 0.5000)  3.70

---

(5)
Entry from Alexandria: CaMoPd2F after structural relaxation (PBE with a Hubbard U).

total moment	2.82	Bohr magnetons per cell
crystal system	tetragonal

Cell: 5.2233 4.1148 5.2233 Å, 90.00 90.00 90.00°
Last column: magnetic moment on the atom in μB.
Atoms (fractional coordinates):
Pd (0.5000, 0.0000, 0.0000)  0.05
Pd (0.0000, 0.0000, 0.5000)  0.04
Mo (0.5000, 0.5000, 0.5000)  2.22
Ca (0.0000, 0.0000, 0.0000)  0.01
F (0.0000, 0.5000, 0.0000)  0.01

---

(6)
Entry from Alexandria: RbCa2MoF after structural relaxation (PBE with a Hubbard U).

total moment	5.21	Bohr magnetons per cell
crystal system	tetragonal

Cell: 5.1545 5.7618 5.1545 Å, 90.00 90.00 90.00°
Last column: magnetic moment on the atom in μB.
Atoms (fractional coordinates):
Ca (0.0000, 0.0000, 0.5000)  0.01
Ca (0.5000, 0.0000, 0.0000)  0.00
Mo (0.5000, 0.5000, 0.5000)  3.97
F (0.0000, 0.0000, 0.0000)  0.00
Rb (0.0000, 0.5000, 0.0000)  0.03

---

(7)
Entry from Alexandria: Rb2CaMo3F12 after structural relaxation (PBE with a Hubbard U).

total moment	8.00	Bohr magnetons per cell
crystal system	trigonal

Cell: 7.8347 7.8347 7.8347 Å, 58.02 58.02 58.02°
Last column: magnetic moment on the atom in μB.
Atoms (fractional coordinates):
F (0.0886, 0.0886, 0.6458)  0.02
F (0.9114, 0.3542, 0.9114)  0.02
F (0.9114, 0.9114, 0.3542)  0.02
F (0.6458, 0.0886, 0.0886)  0.02
F (0.6603, 0.6603, 0.0998)  0.01
F (0.0998, 0.6603, 0.6603)  0.01
F (0.3397, 0.3397, 0.9002)  0.01
F (0.6603, 0.0998, 0.6603)  0.01
F (0.9002, 0.3397, 0.3397)  0.01
F (0.3542, 0.9114, 0.9114)  0.02
F (0.3397, 0.9002, 0.3397)  0.01
F (0.0886, 0.6458, 0.0886)  0.02
Mo (0.0000, 0.5000, 0.0000)  2.59
Mo (0.0000, 0.0000, 0.5000)  2.59
Mo (0.5000, 0.0000, 0.0000)  2.59
Rb (0.3728, 0.3728, 0.3728)  0.00
Rb (0.6272, 0.6272, 0.6272)  0.00
Ca (0.0000, 0.0000, 0.0000)  0.00

---

(8)
Entry from Alexandria: CaTlMoF6 after structural relaxation (PBE with a Hubbard U).

total moment	6.00	Bohr magnetons per cell
crystal system	trigonal

Cell: 6.0019 6.0019 11.3661 Å, 90.00 90.00 120.00°
Last column: magnetic moment on the atom in μB.
Atoms (fractional coordinates):
F (0.6173, 0.9778, 0.8486)  0.02
F (0.6395, 0.0222, 0.3486)  0.02
F (0.0222, 0.6395, 0.8486)  0.02
F (0.6173, 0.6395, 0.6514)  0.02
F (0.0222, 0.3827, 0.6514)  0.02
F (0.3605, 0.3827, 0.8486)  0.02
F (0.6395, 0.6173, 0.1514)  0.02
F (0.9778, 0.3605, 0.1514)  0.02
F (0.3827, 0.0222, 0.1514)  0.02
F (0.9778, 0.6173, 0.3486)  0.02
F (0.3827, 0.3605, 0.3486)  0.02
F (0.3605, 0.9778, 0.6514)  0.02
Ca (0.6667, 0.3333, 0.7500)  0.00
Ca (0.3333, 0.6667, 0.2500)  0.00
Tl (0.0000, 0.0000, 0.0000)  0.00
Tl (0.0000, 0.0000, 0.5000)  0.00
Mo (0.3333, 0.6667, 0.7500)  2.78
Mo (0.6667, 0.3333, 0.2500)  2.78

---

Calculated total energy for the records above, in order: -27.66, -27.14, -25.08, -22.52, -20.79, -16.34, -96.70, -96.94 eV per cell
Ρ for the records above, in order: 3.86, 3.85, 6.25, 3.67, 5.44, 3.04, 3.72, 4.26 Mg/m³